Rb4Ag2I: optimized geometry, PBE.

Calculated values
VASP energy	-13.16	eV per cell
crystal system	tetragonal
space-group type	I4/mmm

a b c (Å): 7.046 7.046 9.954
angles (deg): 110.73 110.73 90.00
Sites, in units of the cell vectors:
1 Rb 0.500 0.000 0.000
2 Rb 0.213 0.213 0.426
3 Rb 0.000 0.500 0.000
4 Rb 0.787 0.787 0.574
5 Ag 0.582 0.582 0.164
6 Ag 0.418 0.418 0.836
7 I 0.000 0.000 0.000